[1]
A plane-wave DFT calculation with PBE was carried out for crystalline Pr6CS3N2 at its relaxed geometry.

a = 6.682 Å, b = 11.577 Å, c = 6.999 Å
α = 90.00°, β = 108.53°, γ = 90.00°
Space group C2/m (No. 12)
Unique sites:
Pr 0.237 0.000 0.214 [4 per cell]
Pr 0.239 0.333 0.215 [8 per cell]
C 0.000 0.500 0.000 [2 per cell]
S 0.000 0.000 0.500 [2 per cell]
S 0.000 0.334 0.500 [4 per cell]
N 0.000 0.167 0.000 [4 per cell]

Values from the calculation:
Energy relative to the elements, uncorrected   -1.4944 eV per atom
M_tot   0.00 μB/f.u.

***

[2]
A plane-wave DFT calculation with PBE was carried out for crystalline Sr3Zn8Ga3 at its relaxed geometry.

a = 16.303 Å, b = 4.553 Å, c = 9.524 Å
α = 90.00°, β = 124.85°, γ = 90.00°
Space group C2/m (No. 12)
Unique sites:
Sr 0.000 0.000 0.000 [2 per cell]
Sr 0.196 0.500 0.695 [4 per cell]
Zn 0.001 0.500 0.708 [4 per cell]
Zn 0.134 0.000 0.853 [4 per cell]
Zn 0.140 0.000 0.415 [4 per cell]
Zn 0.163 0.500 0.017 [4 per cell]
Ga 0.000 0.000 0.500 [2 per cell]
Ga 0.162 0.500 0.297 [4 per cell]

Values from the calculation:
E_form   -25.6 kJ per mole of atoms
M_tot   0.00 μB/f.u.
Polymorph energy (0 for the lowest one)   0.000 eV per atom

***

[3]
A plane-wave DFT calculation with PBE was carried out for crystalline TbYPb at its relaxed geometry.

a = 4.379 Å, b = 19.934 Å, c = 4.345 Å
α = 90.00°, β = 90.00°, γ = 90.00°
Space group Cmc2_1 (No. 36)
Unique sites:
Tb 0.000 0.210 0.000 [4 per cell]
Y 0.000 0.405 0.001 [4 per cell]
Pb 0.000 0.054 0.001 [4 per cell]

Values from the calculation:
E_form   -17.2 kJ per mole of atoms
M_tot   0.00 μB/f.u.

***

[4]
A plane-wave DFT calculation with PBE was carried out for crystalline NdAgBi3 at its relaxed geometry.

a = 13.778 Å, b = 6.475 Å, c = 6.541 Å
α = 90.00°, β = 90.00°, γ = 90.00°
Space group Pbcm (No. 57)
Unique sites:
Nd 0.187 0.005 0.250 [4 per cell]
Ag 0.379 0.250 0.000 [4 per cell]
Bi 0.001 0.250 0.000 [4 per cell]
Bi 0.241 0.511 0.250 [4 per cell]
Bi 0.433 0.685 0.750 [4 per cell]

Values from the calculation:
E_form   -33.3 kJ per mole of atoms
M_tot   0.00 μB/f.u.

***

[5]
A plane-wave DFT calculation with PBE was carried out for crystalline NaZnGa2Pd at its relaxed geometry.

a = 4.831 Å, b = 4.831 Å, c = 4.928 Å
α = 90.00°, β = 90.00°, γ = 90.00°
Space group P4/mmm (No. 123)
Unique sites:
Na 0.000 0.000 0.000 [1 per cell]
Zn 0.500 0.500 0.000 [1 per cell]
Ga 0.000 0.500 0.500 [2 per cell]
Pd 0.500 0.500 0.500 [1 per cell]

Values from the calculation:
E_form   -13.1 kJ per mole of atoms
M_tot   0.00 μB/f.u.

***

[6]
A plane-wave DFT calculation with PBE was carried out for crystalline SrTaAg at its relaxed geometry.

a = 5.1621 Å, b = 5.1621 Å, c = 12.8147 Å
α = 90.00°, β = 90.00°, γ = 120.00°
Space group P6_3/mmc (No. 194)
Unique sites:
Sr 0.0000 0.0000 0.2500 [2 per cell]
Ta 0.0000 0.0000 0.0000 [2 per cell]
Ag 0.3333 0.6667 0.2500 [2 per cell]

Values from the calculation:
E_form   237.2 kJ per mole of atoms
M_tot   4.00 μB/f.u.
Polymorph energy (0 for the lowest one)   2.228 eV per atom

***

[7]
A plane-wave DFT calculation with PBE was carried out for crystalline Sm3TmIr at its relaxed geometry.

a = 5.532 Å, b = 5.532 Å, c = 5.532 Å
α = 90.00°, β = 90.00°, γ = 90.00°
Space group Pm-3m (No. 221)
Unique sites:
Sm 0.000 0.000 0.500 [3 per cell]
Tm 0.500 0.500 0.500 [1 per cell]
Ir 0.000 0.000 0.000 [1 per cell]

Values from the calculation:
E_form   -13.6 kJ per mole of atoms
M_tot   0.00 μB/f.u.

***

| no. | total energy (eV/cell) |
| --- | --- |
| 1 | -169.73 |
| 2 | -56.08 |
| 3 | -61.35 |
| 4 | -83.95 |
| 5 | -14.52 |
| 6 | -18.02 |
| 7 | -28.20 |